# Ca2RhW

Ca2RhW at its PBEsol-relaxed geometry (meta-GGA SCAN, the Alexandria database).

Geometry as extended XYZ:
```
4
Lattice="5.832 -1.588 0.000 5.832 1.588 0.000 -2.266 0.000 4.623" Properties=species:S:1:pos:R:3 pbc="T T T"
Ca 0.000 0.000 0.000
Ca 0.825 0.000 3.272
Rh 8.120 0.000 1.123
W 3.980 0.000 1.958
```

Properties
The energy above the most stable polymorph in this dataset is 0.154 eV/atom.

# CaRhW2

CaRhW2 at its PBEsol-relaxed geometry (meta-GGA SCAN, the Alexandria database).

Geometry as extended XYZ:
```
4
Lattice="3.061 0.000 0.000 0.000 4.407 0.000 0.000 0.000 4.959" Properties=species:S:1:pos:R:3 pbc="T T T"
Ca 0.000 0.000 0.000
Rh 1.531 2.203 0.000
W 0.000 2.203 2.479
W 1.531 0.000 2.479
```

Properties
The energy above the most stable polymorph in this dataset is 0.000 eV/atom.

# Ca2RhW

Ca2RhW at its PBEsol-relaxed geometry (meta-GGA SCAN, the Alexandria database).

Geometry as extended XYZ:
```
4
Lattice="3.168 0.000 0.000 0.000 3.168 0.000 0.000 0.000 9.121" Properties=species:S:1:pos:R:3 pbc="T T T"
Ca 0.000 0.000 0.000
Ca 1.584 1.584 3.468
Rh 0.000 0.000 5.588
W 1.584 1.584 6.856
```

Properties
The energy above the most stable polymorph in this dataset is 0.000 eV/atom.

# CaRhW2

CaRhW2 at its PBEsol-relaxed geometry (meta-GGA SCAN, the Alexandria database).

Geometry as extended XYZ:
```
4
Lattice="1.425 0.823 9.599 -1.425 0.823 9.599 0.000 -1.646 9.599" Properties=species:S:1:pos:R:3 pbc="T T T"
Ca 0.000 0.000 0.000
Rh 0.000 0.000 7.138
W 0.000 0.000 14.662
W 0.000 0.000 21.902
```

Properties
The energy above the most stable polymorph in this dataset is 0.110 eV/atom.

# Ca2RhW

Ca2RhW at its PBEsol-relaxed geometry (meta-GGA SCAN, the Alexandria database).

Geometry as extended XYZ:
```
4
Lattice="3.989 0.000 0.000 0.000 3.989 0.000 0.000 0.000 4.800" Properties=species:S:1:pos:R:3 pbc="T T T"
Ca 0.000 1.994 0.000
Ca 1.994 0.000 0.000
Rh 0.000 0.000 2.400
W 1.994 1.994 2.400
```

Properties
The energy above the most stable polymorph in this dataset is 0.485 eV/atom.

# CaY4Rh

CaY4Rh at its PBEsol-relaxed geometry (meta-GGA SCAN, the Alexandria database).

Geometry as extended XYZ:
```
6
Lattice="0.000 4.395 4.395 4.395 0.000 4.395 4.395 4.395 0.000" Properties=species:S:1:pos:R:3 pbc="T T T"
Ca 0.000 0.000 0.000
Y 5.479 3.311 3.311
Y 3.311 5.479 3.311
Y 3.311 3.311 5.479
Y 5.479 5.479 5.479
Rh 2.197 2.197 2.197
```

# CaYRh3

CaYRh3 at its PBEsol-relaxed geometry (meta-GGA SCAN, the Alexandria database).

Geometry as extended XYZ:
```
5
Lattice="4.664 0.000 0.000 0.000 4.664 0.000 0.000 0.000 4.664" Properties=species:S:1:pos:R:3 pbc="T T T"
Ca 0.000 0.000 0.000
Y 2.332 2.332 2.332
Rh 0.000 0.000 2.332
Rh 0.000 2.332 0.000
Rh 2.332 0.000 0.000
```

# CaYRh4

CaYRh4 at its PBEsol-relaxed geometry (meta-GGA SCAN, the Alexandria database).

Geometry as extended XYZ:
```
6
Lattice="0.000 3.714 3.714 3.714 0.000 3.714 3.714 3.714 0.000" Properties=species:S:1:pos:R:3 pbc="T T T"
Ca 0.000 0.000 0.000
Y 1.857 1.857 1.857
Rh 4.643 2.786 2.786
Rh 2.786 4.643 2.786
Rh 2.786 2.786 4.643
Rh 4.643 4.643 4.643
```

In order of appearance, ΔE_f = 1.556; 1.932; 0.940; 2.372; 2.879; 3.223; 3.407; -4.037 eV per formula unit.
In order of appearance, ρ = 7.1; 12.7; 6.7; 12.6; 8.0; 4.9; 7.2; 8.8 g/cm³.
In order of appearance, magnetic moment = 0.0; 0.0; 0.1; 0.0; 0.0; 0.8; 1.2; 0.0 μB per formula unit.